DFT (GGA-PBE) results for an optimized crystal structure of Rb2NaHg6Pb.

Calculated values
* formation energy from the elements: -57 kJ/mol of formula units
* crystal system: cubic
* SG: Fm-3m
* theoretical density: 6.5 Mg/m³

Unit cell a=8.354 b=8.354 c=8.354 alpha=60.00 beta=60.00 gamma=90.00
Element x y z (fractional)
Hg1 0.743 0.743 0.513
Hg2 0.257 0.257 0.000
Hg3 0.257 0.257 0.487
Hg4 0.743 0.743 0.000
Hg5 0.743 0.257 0.000
Hg6 0.257 0.743 0.000
Pb1 0.000 0.000 0.000
Rb1 0.250 0.750 0.500
Rb2 0.750 0.250 0.500
Na1 0.500 0.500 0.000